Entry 1:
Computed, not measured: a relaxed AcCeTePt crystal at the GGA-PBE level of DFT.

Values from the calculation:
Raw total energy ... -6.02 eV per atom
Total magnetic moment ... 0.258 μB/atom
Uncorrected formation energy ... -1.2156 eV/atom

The structure in CIF format:
```
data_AcCeTePt
_symmetry_space_group_name_H-M 'P 1'
_symmetry_Int_Tables_number 1
_symmetry_space_group_name_Hall 'P 1'
_cell_length_a 4.335
_cell_length_b 4.335
_cell_length_c 23.784
_cell_angle_alpha 90.00
_cell_angle_beta 90.00
_cell_angle_gamma 120.00
loop_
_atom_site_label
_atom_site_fract_x
_atom_site_fract_y
_atom_site_fract_z
Ac1 0.000 0.000 0.000
Ac2 0.333 0.667 0.667
Ac3 0.667 0.333 0.333
Ce1 0.000 0.000 0.807
Ce2 0.333 0.667 0.473
Ce3 0.667 0.333 0.140
Te1 0.000 0.000 0.230
Te2 0.333 0.667 0.896
Te3 0.667 0.333 0.563
Pt1 0.000 0.000 0.410
Pt2 0.333 0.667 0.077
Pt3 0.667 0.333 0.743
```

---

Entry 2:
Computed, not measured: a relaxed LaPm6Ho5 crystal at the GGA-PBE level of DFT.

Values from the calculation:
Raw total energy ... -4.67 eV per atom
ΔE_f ... 24 kJ/mol of formula units
Total magnetic moment ... 0.000 μB/atom

The structure in CIF format:
```
data_LaPm6Ho5
_symmetry_space_group_name_H-M 'P 1'
_symmetry_Int_Tables_number 1
_symmetry_space_group_name_Hall 'P 1'
_cell_length_a 9.541
_cell_length_b 9.541
_cell_length_c 5.109
_cell_angle_alpha 105.49
_cell_angle_beta 105.49
_cell_angle_gamma 106.69
loop_
_atom_site_label
_atom_site_fract_x
_atom_site_fract_y
_atom_site_fract_z
La1 0.000 0.000 0.000
Pm1 0.085 0.419 0.252
Pm2 0.254 0.254 0.754
Pm3 0.419 0.085 0.252
Pm4 0.581 0.915 0.748
Pm5 0.746 0.746 0.246
Pm6 0.915 0.581 0.748
Ho1 0.168 0.832 0.500
Ho2 0.333 0.667 0.000
Ho3 0.500 0.500 0.500
Ho4 0.667 0.333 0.000
Ho5 0.832 0.168 0.500
```

---

Entry 3:
Computed, not measured: a relaxed ReAsRu crystal at the GGA-PBE level of DFT.

Values from the calculation:
Raw total energy ... -8.53 eV per atom
ΔE_f ... 75 kJ/mol of formula units
Total magnetic moment ... 0.000 μB/atom

The structure in CIF format:
```
data_ReAsRu
_symmetry_space_group_name_H-M 'P 1'
_symmetry_Int_Tables_number 1
_symmetry_space_group_name_Hall 'P 1'
_cell_length_a 5.909
_cell_length_b 5.909
_cell_length_c 5.909
_cell_angle_alpha 90.00
_cell_angle_beta 90.00
_cell_angle_gamma 90.00
loop_
_atom_site_label
_atom_site_fract_x
_atom_site_fract_y
_atom_site_fract_z
Re1 0.000 0.000 0.000
Re2 0.000 0.500 0.500
Re3 0.500 0.000 0.500
Re4 0.500 0.500 0.000
As1 0.250 0.250 0.250
As2 0.250 0.750 0.750
As3 0.750 0.250 0.750
As4 0.750 0.750 0.250
Ru1 0.250 0.250 0.750
Ru2 0.250 0.750 0.250
Ru3 0.750 0.250 0.250
Ru4 0.750 0.750 0.750
```

---

Entry 4:
Computed, not measured: a relaxed ZnRhBr2 crystal at the GGA-PBE level of DFT.

Values from the calculation:
Raw total energy ... -2.71 eV per atom
Total magnetic moment ... 0.176 μB/atom
Uncorrected formation energy ... 0.2784 eV/atom

The structure in CIF format:
```
data_ZnRhBr2
_symmetry_space_group_name_H-M 'P 1'
_symmetry_Int_Tables_number 1
_symmetry_space_group_name_Hall 'P 1'
_cell_length_a 3.710
_cell_length_b 3.710
_cell_length_c 13.142
_cell_angle_alpha 90.00
_cell_angle_beta 90.00
_cell_angle_gamma 90.00
loop_
_atom_site_label
_atom_site_fract_x
_atom_site_fract_y
_atom_site_fract_z
Zn1 0.000 0.000 0.000
Zn2 0.500 0.500 0.500
Rh1 0.000 0.500 0.250
Rh2 0.500 0.000 0.750
Br1 0.000 0.000 0.500
Br2 0.000 0.500 0.750
Br3 0.500 0.000 0.250
Br4 0.500 0.500 0.000
```